No. 1
Compound: ZrTcSb2
Source: the Alexandria database
Functional: meta-GGA SCAN
Structure: single point on PBEsol structure

extended XYZ file:
```
4
Lattice="0.0000 3.3772 3.3772 3.3772 0.0000 3.3772 3.3772 3.3772 0.0000" Properties=species:S:1:pos:R:3 pbc="T T T"
Zr 0.0000 0.0000 0.0000
Tc 3.3772 3.3772 3.3772
Sb 1.6886 1.6886 1.6886
Sb 5.0658 5.0658 5.0658
```

Computed properties:
Calculated total energy in eV/atom: -35.1835
E_form (uncorrected) in meV/atom: -114
SG: Fm-3m (225)
D(E_F) in states/eV per cell: 3.81
Calculated density in Mg/m³: 9.328

No. 2
Compound: SrSb2Pb
Source: the Alexandria database
Functional: meta-GGA SCAN
Structure: single point on PBEsol structure

extended XYZ file:
```
4
Lattice="5.0279 0.0000 0.0000 0.0000 5.0279 0.0000 0.0000 0.0000 4.5739" Properties=species:S:1:pos:R:3 pbc="T T T"
Sr 0.0000 0.0000 0.0000
Sb 0.0000 2.5140 2.2870
Sb 2.5140 0.0000 2.2870
Pb 2.5140 2.5140 0.0000
```

Computed properties:
Calculated total energy in eV/atom: -43.6256
E_form (uncorrected) in meV/atom: -481
SG: P4/mmm (123)
D(E_F) in states/eV per cell: 2.27
Calculated density in Mg/m³: 7.731

No. 3
Compound: Mg2PW
Source: the Alexandria database
Functional: meta-GGA SCAN
Structure: single point on PBEsol structure

extended XYZ file:
```
4
Lattice="3.1321 0.0000 0.0000 0.0000 3.1321 0.0000 0.0000 0.0000 7.1354" Properties=species:S:1:pos:R:3 pbc="T T T"
Mg 0.0000 0.0000 0.0000
Mg 1.5661 1.5661 2.3556
P 0.0000 0.0000 4.1664
W 1.5661 1.5661 5.2165
```

Computed properties:
Calculated total energy in eV/atom: -22.5477
Formation enthalpy at 0 K in eV/atom: -0.039
SG: P4mm (99)
D(E_F) in states/eV per cell: 1.93
Calculated density in Mg/m³: 6.249

No. 4
Compound: LaSm3
Source: the Alexandria database
Functional: meta-GGA SCAN
Structure: single point on PBEsol structure

extended XYZ file:
```
8
Lattice="7.2000 0.0000 0.0000 -3.6000 6.2353 0.0000 0.0000 0.0000 5.8054" Properties=species:S:1:pos:R:3 pbc="T T T"
La 0.0000 4.1569 1.4513
La 3.6000 2.0784 4.3540
Sm 0.0000 2.0686 4.3540
Sm -1.8085 5.2010 4.3540
Sm 1.7915 1.0343 1.4513
Sm 1.8085 5.2010 4.3540
Sm 5.4085 1.0343 1.4513
Sm 3.6000 4.1667 1.4513
```

Computed properties:
Calculated total energy in eV/atom: -44.0785
Formation enthalpy at 0 K in eV/atom: 0.029
SG: P6_3/mmc (194)
D(E_F) in states/eV per cell: 12.72
Calculated density in Mg/m³: 7.518

No. 5
Compound: Al2ReNiW
Source: the Alexandria database
Functional: meta-GGA SCAN
Structure: single point on PBEsol structure

extended XYZ file:
```
5
Lattice="4.6430 0.0000 0.0000 0.0000 4.6430 0.0000 0.0000 0.0000 4.6856" Properties=species:S:1:pos:R:3 pbc="T T T"
Al 0.0000 2.3215 0.0000
Al 2.3215 0.0000 0.0000
Re 0.0000 0.0000 0.0000
Ni 2.3215 2.3215 2.3428
W 0.0000 0.0000 2.3428
```

Computed properties:
Calculated total energy in eV/atom: -33.1620
Formation enthalpy at 0 K in eV/atom: 1.330
SG: P4/mmm (123)
D(E_F) in states/eV per cell: 4.54
Calculated density in Mg/m³: 7.935

No. 6
Compound: Tm15S22
Source: the Alexandria database
Functional: meta-GGA SCAN
Structure: single point on PBEsol structure

extended XYZ file:
```
37
Lattice="19.0063 -1.8982 0.0000 19.0063 1.8982 0.0000 -0.2741 0.0000 11.0350" Properties=species:S:1:pos:R:3 pbc="T T T"
Tm 0.0000 0.0000 0.0000
Tm 2.5897 0.0000 3.9160
Tm 4.0036 0.0000 0.1148
Tm 7.3980 0.0000 10.3980
Tm 10.0592 0.0000 3.9097
Tm 12.8070 0.0000 7.6741
Tm 13.9263 0.0000 3.8374
Tm 17.4284 0.0000 2.9731
Tm 20.3099 0.0000 8.0619
Tm 23.8121 0.0000 7.1976
Tm 24.9314 0.0000 3.3609
Tm 27.6792 0.0000 7.1253
Tm 30.3404 0.0000 0.6370
Tm 33.7348 0.0000 10.9202
Tm 35.1487 0.0000 7.1190
S 0.2354 0.0000 2.6537
S 3.2091 0.0000 8.3544
S 5.0218 0.0000 5.0695
S 6.3097 0.0000 1.6266
S 6.8346 0.0000 7.6350
S 9.6438 0.0000 1.3455
S 10.4350 0.0000 6.5674
S 13.3803 0.0000 1.0503
S 15.2364 0.0000 8.7821
S 16.6283 0.0000 5.4110
S 17.1367 0.0000 0.3164
S 20.6016 0.0000 10.7186
S 21.1101 0.0000 5.6240
S 22.5020 0.0000 2.2529
S 24.3580 0.0000 9.9847
S 27.3034 0.0000 4.4676
S 28.0946 0.0000 9.6896
S 30.9038 0.0000 3.4000
S 31.4287 0.0000 9.4084
S 32.7165 0.0000 5.9655
S 34.5292 0.0000 2.6806
S 37.5029 0.0000 8.3813
```

Computed properties:
Calculated total energy in eV/atom: -29.0724
E_form (uncorrected) in meV/atom: -2335
SG: C2/m (12)
D(E_F) in states/eV per cell: 2.31
Calculated density in Mg/m³: 6.756